# 1
# VGeSeBr2

Crystalline VGeSeBr2 at its relaxed geometry (PBE-GGA, Alexandria).

Cell and atoms, written as CIF:
```
data_VGeSeBr2
_chemical_formula_sum 'V1 Ge1 Se1 Br2'
_cell_length_a 5.045
_cell_length_b 5.045
_cell_length_c 5.014
_cell_angle_alpha 90.00
_cell_angle_beta 90.00
_cell_angle_gamma 90.00
_space_group_name_H-M_alt 'P 4/m m m'
_space_group_IT_number 123
_space_group_name_Hall '-P 4 2'
loop_
_atom_site_label
_atom_site_type_symbol
_atom_site_fract_x
_atom_site_fract_y
_atom_site_fract_z
V1 V 0.000 0.000 0.000
Ge1 Ge 0.500 0.500 0.500
Se1 Se 0.000 0.000 0.500
Br1 Br 0.000 0.500 0.000
```

=====

# 2
# VGeSe2Br

Crystalline VGeSe2Br at its relaxed geometry (PBE-GGA, Alexandria).

Cell and atoms, written as CIF:
```
data_VGeSe2Br
_chemical_formula_sum 'V1 Ge1 Se2 Br1'
_cell_length_a 5.025
_cell_length_b 5.025
_cell_length_c 5.073
_cell_angle_alpha 90.00
_cell_angle_beta 90.00
_cell_angle_gamma 90.00
_space_group_name_H-M_alt 'P 4/m m m'
_space_group_IT_number 123
_space_group_name_Hall '-P 4 2'
loop_
_atom_site_label
_atom_site_type_symbol
_atom_site_fract_x
_atom_site_fract_y
_atom_site_fract_z
V1 V 0.000 0.000 0.000
Ge1 Ge 0.500 0.500 0.500
Se1 Se 0.000 0.500 0.500
Br1 Br 0.500 0.500 0.000
```

=====

# 3
# GeWSeBr2

Crystalline GeWSeBr2 at its relaxed geometry (PBE-GGA, Alexandria).

Cell and atoms, written as CIF:
```
data_GeWSeBr2
_chemical_formula_sum 'Ge1 W1 Se1 Br2'
_cell_length_a 5.214
_cell_length_b 5.214
_cell_length_c 4.913
_cell_angle_alpha 90.00
_cell_angle_beta 90.00
_cell_angle_gamma 90.00
_space_group_name_H-M_alt 'P 4/m m m'
_space_group_IT_number 123
_space_group_name_Hall '-P 4 2'
loop_
_atom_site_label
_atom_site_type_symbol
_atom_site_fract_x
_atom_site_fract_y
_atom_site_fract_z
Ge1 Ge 0.000 0.000 0.000
W1 W 0.500 0.500 0.500
Se1 Se 0.500 0.500 0.000
Br1 Br 0.000 0.500 0.500
```

=====

# 4
# GeWSeBr2

Crystalline GeWSeBr2 at its relaxed geometry (PBE-GGA, Alexandria).

Cell and atoms, written as CIF:
```
data_GeWSeBr2
_chemical_formula_sum 'Ge1 W1 Se1 Br2'
_cell_length_a 5.132
_cell_length_b 5.132
_cell_length_c 5.275
_cell_angle_alpha 90.00
_cell_angle_beta 90.00
_cell_angle_gamma 90.00
_space_group_name_H-M_alt 'P 4/m m m'
_space_group_IT_number 123
_space_group_name_Hall '-P 4 2'
loop_
_atom_site_label
_atom_site_type_symbol
_atom_site_fract_x
_atom_site_fract_y
_atom_site_fract_z
Ge1 Ge 0.000 0.000 0.000
W1 W 0.500 0.500 0.500
Se1 Se 0.000 0.000 0.500
Br1 Br 0.000 0.500 0.000
```

=====

# 5
# ZnGeSeBr2

Crystalline ZnGeSeBr2 at its relaxed geometry (PBE-GGA, Alexandria).

Cell and atoms, written as CIF:
```
data_ZnGeSeBr2
_chemical_formula_sum 'Zn1 Ge1 Se1 Br2'
_cell_length_a 4.992
_cell_length_b 4.992
_cell_length_c 5.234
_cell_angle_alpha 90.00
_cell_angle_beta 90.00
_cell_angle_gamma 90.00
_space_group_name_H-M_alt 'P 4/m m m'
_space_group_IT_number 123
_space_group_name_Hall '-P 4 2'
loop_
_atom_site_label
_atom_site_type_symbol
_atom_site_fract_x
_atom_site_fract_y
_atom_site_fract_z
Zn1 Zn 0.000 0.000 0.000
Ge1 Ge 0.500 0.500 0.500
Se1 Se 0.000 0.000 0.500
Br1 Br 0.000 0.500 0.000
```

=====

# 6
# ZrGeSe2Br

Crystalline ZrGeSe2Br at its relaxed geometry (PBE-GGA, Alexandria).

Cell and atoms, written as CIF:
```
data_ZrGeSe2Br
_chemical_formula_sum 'Zr1 Ge1 Se2 Br1'
_cell_length_a 5.041
_cell_length_b 5.041
_cell_length_c 5.001
_cell_angle_alpha 90.00
_cell_angle_beta 90.00
_cell_angle_gamma 90.00
_space_group_name_H-M_alt 'P 4/m m m'
_space_group_IT_number 123
_space_group_name_Hall '-P 4 2'
loop_
_atom_site_label
_atom_site_type_symbol
_atom_site_fract_x
_atom_site_fract_y
_atom_site_fract_z
Zr1 Zr 0.000 0.000 0.000
Ge1 Ge 0.500 0.500 0.500
Se1 Se 0.000 0.500 0.500
Br1 Br 0.500 0.500 0.000
```

=====

# 7
# ZrGeSe2Br

Crystalline ZrGeSe2Br at its relaxed geometry (PBE-GGA, Alexandria).

Cell and atoms, written as CIF:
```
data_ZrGeSe2Br
_chemical_formula_sum 'Zr1 Ge1 Se2 Br1'
_cell_length_a 5.248
_cell_length_b 5.248
_cell_length_c 5.255
_cell_angle_alpha 90.00
_cell_angle_beta 90.00
_cell_angle_gamma 90.00
_space_group_name_H-M_alt 'P 4/m m m'
_space_group_IT_number 123
_space_group_name_Hall '-P 4 2'
loop_
_atom_site_label
_atom_site_type_symbol
_atom_site_fract_x
_atom_site_fract_y
_atom_site_fract_z
Zr1 Zr 0.000 0.000 0.000
Ge1 Ge 0.500 0.500 0.500
Se1 Se 0.000 0.500 0.000
Br1 Br 0.000 0.000 0.500
```

=====

# 8
# Si3GeBr

Crystalline Si3GeBr at its relaxed geometry (PBE-GGA, Alexandria).

Cell and atoms, written as CIF:
```
data_Si3GeBr
_chemical_formula_sum 'Si3 Ge1 Br1'
_cell_length_a 4.946
_cell_length_b 4.946
_cell_length_c 4.946
_cell_angle_alpha 90.00
_cell_angle_beta 90.00
_cell_angle_gamma 90.00
_space_group_name_H-M_alt 'P m -3 m'
_space_group_IT_number 221
_space_group_name_Hall '-P 4 2 3'
loop_
_atom_site_label
_atom_site_type_symbol
_atom_site_fract_x
_atom_site_fract_y
_atom_site_fract_z
Si1 Si 0.000 0.000 0.500
Ge1 Ge 0.000 0.000 0.000
Br1 Br 0.500 0.500 0.500
```

=====

# 9
# SiGe3Br

Crystalline SiGe3Br at its relaxed geometry (PBE-GGA, Alexandria).

Cell and atoms, written as CIF:
```
data_SiGe3Br
_chemical_formula_sum 'Si1 Ge3 Br1'
_cell_length_a 4.971
_cell_length_b 4.971
_cell_length_c 4.971
_cell_angle_alpha 90.00
_cell_angle_beta 90.00
_cell_angle_gamma 90.00
_space_group_name_H-M_alt 'P m -3 m'
_space_group_IT_number 221
_space_group_name_Hall '-P 4 2 3'
loop_
_atom_site_label
_atom_site_type_symbol
_atom_site_fract_x
_atom_site_fract_y
_atom_site_fract_z
Si1 Si 0.000 0.000 0.000
Ge1 Ge 0.000 0.000 0.500
Br1 Br 0.500 0.500 0.500
```

=====

# 10
# SiGe2Br

Crystalline SiGe2Br at its relaxed geometry (PBE-GGA, Alexandria).

Cell and atoms, written as CIF:
```
data_SiGe2Br
_chemical_formula_sum 'Si4 Ge8 Br4'
_cell_length_a 6.870
_cell_length_b 6.870
_cell_length_c 6.870
_cell_angle_alpha 90.00
_cell_angle_beta 90.00
_cell_angle_gamma 90.00
_space_group_name_H-M_alt 'F m -3 m'
_space_group_IT_number 225
_space_group_name_Hall '-F 4 2 3'
loop_
_atom_site_label
_atom_site_type_symbol
_atom_site_fract_x
_atom_site_fract_y
_atom_site_fract_z
Si1 Si 0.000 0.000 0.000
Ge1 Ge 0.250 0.250 0.250
Br1 Br 0.000 0.000 0.500
```

=====

# 11
# SiGe2Br

Crystalline SiGe2Br at its relaxed geometry (PBE-GGA, Alexandria).

Cell and atoms, written as CIF:
```
data_SiGe2Br
_chemical_formula_sum 'Si4 Ge8 Br4'
_cell_length_a 6.911
_cell_length_b 6.911
_cell_length_c 8.891
_cell_angle_alpha 90.00
_cell_angle_beta 90.00
_cell_angle_gamma 90.00
_space_group_name_H-M_alt 'I -4 2 d'
_space_group_IT_number 122
_space_group_name_Hall 'I -4 2bw'
loop_
_atom_site_label
_atom_site_type_symbol
_atom_site_fract_x
_atom_site_fract_y
_atom_site_fract_z
Si1 Si 0.000 0.000 0.000
Ge1 Ge 0.196 0.250 0.125
Br1 Br 0.000 0.000 0.500
```

=====

# 12
# Si2GeBr8

Crystalline Si2GeBr8 at its relaxed geometry (PBE-GGA, Alexandria).

Cell and atoms, written as CIF:
```
data_Si2GeBr8
_chemical_formula_sum 'Si4 Ge2 Br16'
_cell_length_a 13.393
_cell_length_b 9.802
_cell_length_c 7.152
_cell_angle_alpha 90.00
_cell_angle_beta 90.85
_cell_angle_gamma 90.00
_space_group_name_H-M_alt 'C 1 2/m 1'
_space_group_IT_number 12
_space_group_name_Hall '-C 2y'
loop_
_atom_site_label
_atom_site_type_symbol
_atom_site_fract_x
_atom_site_fract_y
_atom_site_fract_z
Si1 Si 0.192 0.000 0.139
Ge1 Ge 0.000 0.000 0.500
Br1 Br 0.115 0.000 0.826
Br2 Br 0.136 0.186 0.319
Br3 Br 0.139 0.500 0.829
```

=====

Number 1: total DFT energy (no corrections) -4.161 eV/atom, formation energy without anion corrections -48 meV per atom. Number 2: total DFT energy (no corrections) -3.765 eV/atom, formation energy without anion corrections 710 meV per atom. Number 3: total DFT energy (no corrections) -4.328 eV/atom, formation energy without anion corrections 553 meV per atom. Number 4: total DFT energy (no corrections) -3.754 eV/atom, formation energy without anion corrections 1126 meV per atom. Number 5: total DFT energy (no corrections) -2.522 eV/atom, formation energy without anion corrections 23 meV per atom. Number 6: total DFT energy (no corrections) -4.173 eV/atom, formation energy without anion corrections 188 meV per atom. Number 7: total DFT energy (no corrections) -4.679 eV/atom, formation energy without anion corrections -318 meV per atom. Number 8: total DFT energy (no corrections) -3.457 eV/atom, formation energy without anion corrections 1055 meV per atom. Number 9: total DFT energy (no corrections) -3.577 eV/atom, formation energy without anion corrections 612 meV per atom. Number 10: total DFT energy (no corrections) -3.582 eV/atom, formation energy without anion corrections 501 meV per atom. Number 11: total DFT energy (no corrections) -3.695 eV/atom, formation energy without anion corrections 388 meV per atom. Number 12: total DFT energy (no corrections) -3.099 eV/atom, formation energy without anion corrections -477 meV per atom.